Li8NbNi3P6O24 after structural relaxation. Source: Alexandria, functional PBE with a Hubbard U.

Unit cell a=8.9350 b=8.9350 c=20.5560 alpha=90.00 beta=90.00 gamma=120.00
Space group R3 (No. 146, hexagonal axes)
Symmetry-distinct sites (fractional):
Li1 0.0000 0.0000 0.0000
Li2 0.0000 0.0000 0.4876
Li3 0.0455 0.4286 0.2476
Li4 0.0855 0.7176 0.0621
Nb1 0.0000 0.0000 0.8422
Ni1 0.0000 0.0000 0.1325
Ni2 0.0000 0.0000 0.3394
Ni3 0.0000 0.0000 0.6350
P1 0.0014 0.3035 0.7350
P2 0.0042 0.7067 0.2362
O1 0.0158 0.2086 0.7966
O2 0.0224 0.2175 0.6740
O3 0.0237 0.1929 0.0654
O4 0.0430 0.1973 0.4091
O5 0.1359 0.6881 0.9667
O6 0.1369 0.6769 0.8420
O7 0.1605 0.6888 0.5722
O8 0.1798 0.7066 0.2326

* uncorrected energy: -6.517 eV per atom
* N(E_F): 3.54 states/eV/cell
* total moment: 7.0 μB/f.u.
* mass density: 3.13 g cm⁻³